Version w
Sb3Se3S | the Alexandria database | PBE | optimized geometry; total magnetization = 0.00 Bohr magnetons per cell; space group = P2_1/m; DOS(E_F) = 1.20 states/eV/f.u.
1.0
-1.454 1.632 5.616
4.875 -6.922 3.273
3.918 8.080 -1.334
Se Sb S
6 6 2
direct
0.750 0.721 0.043
0.250 0.279 0.957
0.250 0.680 0.723
0.750 0.958 0.680
0.250 0.042 0.320
0.750 0.320 0.277
0.750 0.283 0.921
0.250 0.360 0.282
0.750 0.078 0.360
0.750 0.640 0.718
0.250 0.922 0.640
0.250 0.717 0.079
0.250 0.667 0.334
0.750 0.333 0.666

---

Version x
Sb3Se3S | the Alexandria database | PBE | optimized geometry; total magnetization = 0.00 Bohr magnetons per cell; space group = P2_1/c
1.0
-6.614 -3.974 -1.357
3.931 -6.364 -0.524
-2.150 -1.453 14.731
Sb Se S
12 12 4
direct
0.947 0.019 0.382
0.655 0.504 0.753
0.845 0.504 0.253
0.457 0.306 0.470
0.447 0.981 0.118
0.957 0.694 0.030
0.553 0.019 0.882
0.043 0.306 0.970
0.543 0.694 0.530
0.155 0.496 0.747
0.345 0.496 0.247
0.053 0.981 0.618
0.331 0.398 0.889
0.366 0.755 0.697
0.134 0.755 0.197
0.302 0.250 0.639
0.669 0.602 0.111
0.198 0.250 0.139
0.831 0.602 0.611
0.866 0.245 0.803
0.802 0.750 0.861
0.169 0.398 0.389
0.634 0.245 0.303
0.698 0.750 0.361
0.179 0.872 0.473
0.821 0.128 0.527
0.321 0.872 0.973
0.679 0.128 0.027

---

Of them, version x has the highest stability.

---

Version w
Sb2TeSeS | the Alexandria database | PBE | optimized geometry; total magnetization = 0.00 Bohr magnetons per cell; space group = P4/mmm; DOS(E_F) = 7.51 states/eV/f.u.
1.0
-0.898 5.382 -0.239
-2.613 -0.223 4.791
4.594 0.880 2.547
Sb Te Se S
2 1 1 1
direct
0.500 0.000 0.000
0.000 0.500 0.000
0.000 0.000 0.500
0.000 0.000 0.000
0.500 0.500 0.500

---

Version x
Sb2TeSeS | the Alexandria database | PBE | optimized geometry; total magnetization = 0.00 Bohr magnetons per cell; space group = P4/mmm; DOS(E_F) = 5.26 states/eV/f.u.
1.0
5.289 0.000 0.000
0.000 5.289 0.000
0.000 0.000 5.137
S Sb Se Te
1 2 1 1
direct
0.000 0.000 0.000
0.500 0.000 0.000
0.000 0.500 0.000
0.500 0.500 0.500
0.000 0.000 0.500

---

Of them, version x has the highest stability.

---

Version w
Si2SbS | the Alexandria database | PBE | optimized geometry; total magnetization = 0.00 Bohr magnetons per cell; space group = I-42d; DOS(E_F) = 0.71 states/eV/f.u.
1.0
-2.931 4.068 -1.326
-3.014 -0.822 4.140
1.143 5.838 5.240
S Si Sb
2 4 2
direct
0.500 0.500 0.000
0.250 0.750 0.500
0.375 0.439 0.750
0.189 0.625 0.250
0.561 0.125 0.250
0.875 0.811 0.750
0.000 0.000 0.000
0.750 0.250 0.500

---

Version x
Si2SbS | the Alexandria database | PBE | optimized geometry; total magnetization = 0.00 Bohr magnetons per cell; space group = Fm-3m; DOS(E_F) = 2.40 states/eV/f.u.
1.0
0.000 3.340 3.340
3.340 0.000 3.340
3.340 3.340 0.000
Si Sb S
2 1 1
direct
0.250 0.250 0.250
0.750 0.750 0.750
0.500 0.500 0.500
0.000 0.000 0.000

---

Of them, version w has the highest stability.

---

Version w
Sm2SbS | the Alexandria database | PBE | optimized geometry; total magnetization = 0.00 Bohr magnetons per cell; space group = Pmmn; DOS(E_F) = 2.98 states/eV/f.u.
1.0
-1.314 2.167 -2.837
-4.294 1.439 3.088
5.391 8.126 3.710
Sb S Sm
2 2 4
direct
0.500 0.000 0.123
0.000 0.500 0.877
0.000 0.000 0.614
0.500 0.500 0.386
0.500 0.000 0.419
0.000 0.500 0.581
0.000 0.500 0.182
0.500 0.000 0.818

---

Version x
Sm2SbS | the Alexandria database | PBE | optimized geometry; total magnetization = 0.00 Bohr magnetons per cell; space group = R3m; DOS(E_F) = 2.63 states/eV/f.u.
1.0
-3.392 -1.532 1.897
0.003 -0.580 4.137
-3.638 6.017 2.955
Sm Sb S
2 1 1
direct
0.073 0.073 0.781
0.259 0.259 0.224
0.499 0.499 0.502
0.669 0.669 0.993

---

Version y
Sm2SbS | the Alexandria database | PBE | optimized geometry; total magnetization = 0.00 Bohr magnetons per cell; space group = P4/mmm; DOS(E_F) = 1.25 states/eV/f.u.
1.0
4.272 0.000 0.000
0.000 4.272 0.000
0.000 0.000 6.048
Sm Sb S
2 1 1
direct
0.000 0.000 0.500
0.500 0.500 0.000
0.000 0.000 0.000
0.500 0.500 0.500

---

Version z
Sm2SbS | the Alexandria database | PBE | optimized geometry; total magnetization = 0.00 Bohr magnetons per cell; space group = R-3m; DOS(E_F) = 1.93 states/eV/f.u.
1.0
-0.732 -1.613 3.851
3.210 -1.551 2.294
1.842 5.223 4.871
Sm S Sb
2 1 1
direct
0.742 0.742 0.774
0.258 0.258 0.226
0.000 0.000 0.000
0.500 0.500 0.500

---

Of them, version z has the highest stability.

---

Version w
Sm3Sb2S | the Alexandria database | PBE | optimized geometry; total magnetization = 0.00 Bohr magnetons per cell; space group = Fddd; DOS(E_F) = 1.41 states/eV/f.u.
1.0
7.378 0.027 -1.364
-2.829 6.814 -1.364
-0.013 -0.020 13.665
Sm Sb S
12 8 4
direct
0.588 0.600 0.673
0.850 0.338 0.173
0.482 0.982 0.500
0.662 0.150 0.827
0.085 0.073 0.673
0.018 0.518 0.500
0.323 0.835 0.173
0.400 0.412 0.327
0.768 0.768 0.000
0.232 0.232 0.000
0.927 0.915 0.327
0.165 0.677 0.827
0.748 0.748 0.496
0.419 0.419 0.838
0.502 0.002 0.004
0.669 0.169 0.338
0.252 0.252 0.504
0.581 0.581 0.162
0.998 0.498 0.996
0.831 0.331 0.662
0.917 0.917 0.833
0.083 0.083 0.167
0.167 0.667 0.333
0.333 0.833 0.667

---

Version x
Sm3Sb2S | the Alexandria database | PBE | optimized geometry; total magnetization = 0.00 Bohr magnetons per cell; space group = Immm; DOS(E_F) = 1.61 states/eV/f.u.
1.0
-3.835 -0.050 -1.975
2.820 -0.456 -5.466
0.355 -6.210 4.180
S Sm Sb
1 3 2
direct
0.000 0.500 0.000
0.000 0.000 0.000
0.654 0.654 0.308
0.346 0.346 0.692
0.329 0.829 0.658
0.671 0.171 0.342

---

Of them, version w has the highest stability.

---

Version w
Sn2Sb2S5 | the Alexandria database | PBE | optimized geometry; total magnetization = 0.00 Bohr magnetons per cell; space group = Ima2
1.0
7.121 0.000 -2.677
-1.248 6.775 -3.322
-0.246 0.619 10.159
S Sb Sn
10 4 4
direct
0.161 0.172 0.901
0.937 0.223 0.500
0.839 0.272 0.099
0.471 0.233 0.706
0.735 0.733 0.706
0.240 0.672 0.900
0.063 0.723 0.500
0.265 0.027 0.294
0.529 0.527 0.294
0.760 0.772 0.099
0.748 0.822 0.500
0.252 0.322 0.500
0.000 0.991 0.000
0.500 0.491 0.000
0.913 0.433 0.770
0.357 0.933 0.770
0.087 0.663 0.230
0.643 0.163 0.230

---

Version x
Sn2Sb2S5 | the Alexandria database | PBE | optimized geometry; total magnetization = 0.00 Bohr magnetons per cell; space group = C2/m; DOS(E_F) = 0.61 states/eV/f.u.
1.0
-4.106 0.586 3.244
6.943 -2.109 4.894
0.855 5.507 0.088
Sb S Sn
2 5 2
direct
0.153 0.306 0.919
0.847 0.694 0.081
0.667 0.333 0.968
0.000 0.000 0.000
0.333 0.667 0.032
0.844 0.688 0.521
0.156 0.312 0.479
0.414 0.827 0.657
0.586 0.173 0.343

---

Version y
Sn2Sb2S5 | the Alexandria database | PBE | optimized geometry; total magnetization = 0.00 Bohr magnetons per cell; space group = Pnma
1.0
3.968 0.000 0.000
0.000 11.513 0.000
0.000 0.000 20.498
S Sb Sn
20 8 8
direct
0.250 0.369 0.980
0.250 0.825 0.370
0.250 0.675 0.870
0.250 0.075 0.078
0.750 0.325 0.130
0.250 0.754 0.171
0.250 0.746 0.671
0.750 0.175 0.630
0.250 0.504 0.272
0.750 0.496 0.728
0.750 0.575 0.422
0.750 0.246 0.829
0.750 0.925 0.922
0.750 0.869 0.520
0.750 0.254 0.329
0.750 0.004 0.228
0.750 0.631 0.020
0.250 0.425 0.578
0.250 0.131 0.480
0.250 0.996 0.772
0.750 0.623 0.632
0.750 0.291 0.530
0.750 0.209 0.030
0.250 0.791 0.970
0.250 0.123 0.868
0.250 0.709 0.470
0.750 0.877 0.132
0.250 0.377 0.368
0.750 0.664 0.298
0.750 0.836 0.798
0.750 0.997 0.411
0.250 0.336 0.702
0.250 0.497 0.089
0.250 0.164 0.202
0.750 0.503 0.911
0.250 0.003 0.589

---

Of them, version y has the highest stability.

---

Version w
SnSb2S | the Alexandria database | PBE | optimized geometry; total magnetization = 0.00 Bohr magnetons per cell; space group = I-42d; DOS(E_F) = 1.53 states/eV/f.u.
1.0
-1.575 -2.990 -4.802
5.109 1.387 -2.539
4.991 -7.255 -0.709
S Sb Sn
2 4 2
direct
0.500 0.500 0.000
0.250 0.750 0.500
0.181 0.625 0.250
0.875 0.819 0.750
0.375 0.431 0.750
0.569 0.125 0.250
0.750 0.250 0.500
0.000 0.000 0.000

---

Version x
SnSb2S | the Alexandria database | PBE | optimized geometry; total magnetization = 0.00 Bohr magnetons per cell; space group = Fm-3m; DOS(E_F) = 2.17 states/eV/f.u.
1.0
0.000 3.645 3.645
3.645 0.000 3.645
3.645 3.645 0.000
Sn S Sb
1 1 2
direct
0.500 0.500 0.500
0.000 0.000 0.000
0.750 0.750 0.750
0.250 0.250 0.250

---

Of them, version w has the highest stability.

---

Version w
SnSbS3 | the Alexandria database | PBE | optimized geometry; total magnetization = 0.00 Bohr magnetons per cell; space group = C2/m; DOS(E_F) = 0.48 states/eV/f.u.
1.0
3.792 0.000 0.000
0.000 8.372 0.524
-1.896 0.284 8.924
S Sn Sb
6 2 2
direct
0.986 0.793 0.973
0.682 0.159 0.365
0.856 0.468 0.712
0.144 0.532 0.288
0.014 0.207 0.027
0.318 0.841 0.635
0.423 0.586 0.847
0.577 0.414 0.153
0.122 0.006 0.243
0.878 0.994 0.757

---

Version x
SnSbS3 | the Alexandria database | PBE | optimized geometry; total magnetization = 0.00 Bohr magnetons per cell; space group = P2_1/c; DOS(E_F) = 1.35 states/eV/f.u.
1.0
-2.636 3.884 5.412
-8.222 -0.174 -3.880
0.765 -6.921 5.339
Sb S Sn
4 12 4
direct
0.270 0.915 0.979
0.770 0.085 0.521
0.230 0.915 0.479
0.730 0.085 0.021
0.627 0.349 0.040
0.135 0.346 0.071
0.127 0.651 0.460
0.978 0.946 0.288
0.373 0.651 0.960
0.478 0.054 0.212
0.022 0.054 0.712
0.522 0.946 0.788
0.865 0.654 0.929
0.365 0.346 0.571
0.635 0.654 0.429
0.873 0.349 0.540
0.881 0.563 0.191
0.119 0.437 0.809
0.381 0.437 0.309
0.619 0.563 0.691

---

Of them, version w has the highest stability.

---

Version w
SnSbTe2S | the Alexandria database | PBE | optimized geometry; total magnetization = 0.00 Bohr magnetons per cell; space group = P4/mmm; DOS(E_F) = 3.71 states/eV/f.u.
1.0
-4.829 -1.165 -1.785
0.910 -5.124 0.884
-1.936 0.503 4.910
S Sn Sb Te
1 1 1 2
direct
0.000 0.000 0.000
0.500 0.500 0.500
0.000 0.000 0.500
0.000 0.500 0.000
0.500 0.000 0.000

---

Version x
SnSbTe2S | the Alexandria database | PBE | optimized geometry; total magnetization = 1.07 Bohr magnetons per cell; space group = P4/mmm; DOS(E_F) = 6.13 states/eV/f.u.
1.0
-5.007 -0.243 2.554
2.476 -1.923 4.671
0.690 5.438 1.872
Sb S Te Sn
1 1 2 1
direct
0.000 0.000 0.500
0.500 0.500 0.500
0.500 0.000 0.000
0.000 0.500 0.000
0.000 0.000 0.000

---

Of them, version w has the highest stability.